[1]
An optimized crystal structure of SrCd2GaAu5, computed with PBE.

Computed properties:
The uncorrected energy is -2.813 eV per atom.

Unit cell a=4.9454 b=5.9832 c=8.2702 alpha=111.21 beta=107.40 gamma=90.00
With the nearest neighbours (Å) after each atom.
Fractional positions:
Au1 0.0000 0.0000 0.0000  2 Ga 2.47
Au2 0.6414 0.8763 0.2827  1 Ga 2.60, 1 Cd 2.80, 1 Au 2.81
Au3 0.3586 0.1237 0.7173  1 Ga 2.60, 1 Cd 2.80, 1 Au 2.81
Au4 0.6414 0.4064 0.2827  1 Ga 2.60, 1 Cd 2.80, 1 Au 2.81
Au5 0.3586 0.5936 0.7173  1 Ga 2.60, 1 Cd 2.80, 1 Au 2.81
Cd1 0.8073 0.8073 0.6147  7 Au 2.80-3.03
Cd2 0.1927 0.1927 0.3853  7 Au 2.80-3.03
Ga1 0.5000 0.0000 0.0000  6 Au 2.47-2.60
Sr1 0.0000 0.5000 0.0000  2 Au 2.99

=====

[2]
An optimized crystal structure of SrCdGa2Au5, computed with PBE.

Computed properties:
The uncorrected energy is -3.040 eV per atom.

Unit cell a=4.9655 b=4.9655 c=8.8029 alpha=90.00 beta=90.00 gamma=90.00
With the nearest neighbours (Å) after each atom.
Fractional positions:
Sr1 0.0000 0.0000 0.5000  12 Au 3.51-3.79
Au1 0.0000 0.5000 0.1744  2 Ga 2.51
Au2 0.5000 0.0000 0.1744  2 Ga 2.51
Au3 0.5000 0.5000 0.5000  2 Ga 2.50
Au4 0.5000 0.0000 0.8256  2 Ga 2.51
Au5 0.0000 0.5000 0.8256  2 Ga 2.51
Ga1 0.5000 0.5000 0.2165  5 Au 2.50-2.51
Ga2 0.5000 0.5000 0.7835  5 Au 2.50-2.51
Cd1 0.0000 0.0000 0.0000  8 Au 2.92

=====

[3]
An optimized crystal structure of Tb2CdGaAu4, computed with PBE.

Computed properties:
The uncorrected energy is -3.954 eV per atom.

Unit cell a=4.9449 b=4.9449 c=8.3937 alpha=72.87 beta=72.87 gamma=60.00
With the nearest neighbours (Å) after each atom.
Fractional positions:
Tb1 0.7506 0.7506 0.7482  8 Au 2.95-3.07
Tb2 0.2494 0.2494 0.2518  8 Au 2.95-3.07
Cd1 0.0000 0.0000 0.0000  8 Au 2.96-3.05
Au1 0.1248 0.1248 0.6255  4 Tb 2.95-3.01, 1 Cd 2.96, 3 Ga 3.02
Au2 0.6208 0.6208 0.1375  1 Ga 2.86, 4 Tb 2.99-3.07, 3 Cd 3.05
Au3 0.3792 0.3792 0.8625  1 Ga 2.86, 4 Tb 2.99-3.07, 3 Cd 3.05
Au4 0.8752 0.8752 0.3745  4 Tb 2.95-3.01, 1 Cd 2.96, 3 Ga 3.02
Ga1 0.5000 0.5000 0.5000  8 Au 2.86-3.02

=====

[4]
An optimized crystal structure of Tb2CdGa3Au4, computed with PBE.

Computed properties:
The uncorrected energy is -3.785 eV per atom.

Unit cell a=4.2924 b=4.2924 c=11.3448 alpha=90.00 beta=90.00 gamma=90.00
With the nearest neighbours (Å) after each atom.
Fractional positions:
Au1 0.0000 0.5000 0.3473  3 Ga 2.47-2.76, 2 Cd 2.76
Au2 0.0000 0.0000 0.0000  4 Ga 2.60
Au3 0.5000 0.5000 0.0000  4 Ga 2.60
Au4 0.5000 0.0000 0.6527  3 Ga 2.47-2.76, 2 Cd 2.76
Ga1 0.5000 0.0000 0.8704  5 Au 2.47-2.60
Ga2 0.0000 0.5000 0.1296  5 Au 2.47-2.60
Ga3 0.0000 0.0000 0.5000  4 Au 2.76, 4 Cd 3.04
Tb1 0.0000 0.5000 0.7653  4 Ga 3.26, 8 Au 3.29-3.42
Tb2 0.5000 0.0000 0.2347  4 Ga 3.26, 8 Au 3.29-3.42
Cd1 0.5000 0.5000 0.5000  4 Au 2.76, 4 Ga 3.04

=====

[5]
An optimized crystal structure of Tb4CdGaAu2, computed with PBE.

Computed properties:
The uncorrected energy is -4.252 eV per atom.

Unit cell a=5.1533 b=5.1533 c=8.9709 alpha=73.31 beta=73.31 gamma=60.00
With the nearest neighbours (Å) after each atom.
Fractional positions:
Au1 0.2567 0.2567 0.2299  8 Tb 3.08-3.26
Au2 0.7433 0.7433 0.7701  8 Tb 3.08-3.26
Tb1 0.8716 0.8716 0.3853  3 Ga 3.13, 4 Au 3.25-3.26, 1 Cd 3.26
Tb2 0.3787 0.3787 0.8638  4 Au 3.08-3.10, 1 Ga 3.08, 3 Cd 3.19
Tb3 0.6213 0.6213 0.1362  4 Au 3.08-3.10, 1 Ga 3.08, 3 Cd 3.19
Tb4 0.1284 0.1284 0.6147  3 Ga 3.13, 4 Au 3.25-3.26, 1 Cd 3.26
Ga1 0.5000 0.5000 0.5000  8 Tb 3.08-3.13
Cd1 0.0000 0.0000 0.0000  8 Tb 3.19-3.26, 6 Au 3.55

=====

[6]
An optimized crystal structure of CdGaTe4Au2, computed with PBE.

Computed properties:
As for the uncorrected formation energy: -0.23 eV/atom.

Unit cell a=6.3459 b=6.3459 c=7.8180 alpha=113.94 beta=113.94 gamma=90.01
With the nearest neighbours (Å) after each atom.
Fractional positions:
Au1 0.2500 0.7500 0.5001  4 Te 2.74
Au2 0.7500 0.2500 0.5001  4 Te 2.74
Te1 0.3896 0.8653 0.2549  1 Ga 2.69, 2 Au 2.74, 1 Cd 2.86
Te2 0.6107 0.6107 0.7452  1 Ga 2.69, 2 Au 2.74, 1 Cd 2.86
Te3 0.1345 0.1345 0.7452  1 Ga 2.69, 2 Au 2.74, 1 Cd 2.86
Te4 0.8653 0.3896 0.2549  1 Ga 2.69, 2 Au 2.74, 1 Cd 2.86
Cd1 0.0002 0.0002 0.0005  4 Te 2.86
Ga1 0.4999 0.4999 0.9998  4 Te 2.69

=====

[7]
An optimized crystal structure of ThCdGa2Au5, computed with PBE.

Computed properties:
The uncorrected energy is -3.804 eV per atom.

Unit cell a=4.4603 b=4.4603 c=8.9446 alpha=90.00 beta=90.00 gamma=90.00
With the nearest neighbours (Å) after each atom.
Fractional positions:
Au1 0.0000 0.5000 0.7200  2 Ga 2.58
Au2 0.5000 0.5000 0.5000  8 Au 2.97, 4 Cd 3.15, 2 Ga 3.27
Au3 0.5000 0.0000 0.7200  2 Ga 2.58
Au4 0.0000 0.5000 0.2800  2 Ga 2.58
Au5 0.5000 0.0000 0.2800  2 Ga 2.58
Ga1 0.5000 0.5000 0.1349  1 Ga 2.41, 4 Au 2.58
Ga2 0.5000 0.5000 0.8651  1 Ga 2.41, 4 Au 2.58
Th1 0.0000 0.0000 0.0000  8 Au 3.35, 8 Ga 3.38
Cd1 0.0000 0.0000 0.5000  12 Au 2.97-3.15

=====

[8]
An optimized crystal structure of Th2CdGa4Au3, computed with PBE.

Computed properties:
The uncorrected energy is -4.301 eV per atom.

Unit cell a=4.3661 b=4.3661 c=10.9903 alpha=90.00 beta=90.00 gamma=90.00
With the nearest neighbours (Å) after each atom.
Fractional positions:
Ga1 0.5000 0.5000 0.0000  4 Au 2.62
Ga2 0.0000 0.0000 0.0000  4 Au 2.62
Ga3 0.5000 0.0000 0.6414  3 Au 2.50-2.68, 2 Cd 2.68
Ga4 0.0000 0.5000 0.3586  3 Au 2.50-2.68, 2 Cd 2.68
Au1 0.0000 0.5000 0.1314  5 Ga 2.50-2.62
Au2 0.0000 0.0000 0.5000  4 Ga 2.68
Au3 0.5000 0.0000 0.8686  5 Ga 2.50-2.62
Cd1 0.5000 0.5000 0.5000  4 Ga 2.68
Th1 0.0000 0.5000 0.7539  8 Ga 3.33-3.48, 6 Au 3.33-3.54, 2 Cd 3.54
Th2 0.5000 0.0000 0.2461  8 Ga 3.33-3.48, 6 Au 3.33-3.54, 2 Cd 3.54